Entry 1:
The following is a DFT calculation (GGA-PBE) of an optimized crystal structure of ScVTeN2.

Space group: No. 123
Uncorrected formation energy: -0.019 eV per atom
Raw total energy: -7.07 eV/atom
Offset from the most stable computed form: 0.00 eV per formula unit

Structure (POSCAR):
```
ScVTeN2
1.0
3.902 0.000 0.000
0.000 3.902 0.000
0.000 0.000 5.324
Sc V Te N
1 1 1 2
Direct
0.000 0.000 0.000
0.500 0.500 0.500
0.500 0.500 0.000
0.000 0.500 0.500
0.500 0.000 0.500
```

Entry 2:
The following is a DFT calculation (GGA-PBE) of an optimized crystal structure of BeCoNi2.

Space group: No. 71
Formation energy from the elements: -115 meV per atom
Raw total energy: -5.71 eV/atom

Structure (POSCAR):
```
BeCoNi2
1.0
-1.332 1.948 3.846
1.332 -1.948 3.846
1.332 1.948 -3.846
Be Co Ni
1 1 2
Direct
0.000 0.000 0.000
0.500 0.500 0.000
0.231 0.731 0.500
0.769 0.269 0.500
```

Entry 3:
The following is a DFT calculation (GGA-PBE) of an optimized crystal structure of Tb4Pm3Dy4.

Space group: No. 71
Formation energy from the elements: 172 meV per atom
Raw total energy: -4.48 eV/atom
Offset from the most stable computed form: 1.31 eV per formula unit

Structure (POSCAR):
```
Tb4Pm3Dy4
1.0
-1.771 5.639 9.233
1.771 -5.639 9.233
1.771 5.639 -9.233
Tb Pm Dy
4 3 4
Direct
0.071 0.829 0.242
0.412 0.171 0.242
0.588 0.829 0.758
0.929 0.171 0.758
0.000 0.500 0.500
0.393 0.393 0.000
0.607 0.607 0.000
0.222 0.722 0.500
0.288 0.000 0.288
0.712 0.000 0.712
0.778 0.278 0.500
```

Entry 4:
The following is a DFT calculation (GGA-PBE) of an optimized crystal structure of V4CrCo.

Space group: No. 123
Formation energy from the elements: -101 meV per atom
Raw total energy: -8.97 eV/atom
Offset from the most stable computed form: 0.00 eV per formula unit

Structure (POSCAR):
```
V4CrCo
1.0
2.925 0.000 0.000
0.000 2.925 0.000
0.000 0.000 8.793
V Cr Co
4 1 1
Direct
0.000 0.000 0.164
0.000 0.000 0.836
0.500 0.500 0.336
0.500 0.500 0.664
0.000 0.000 0.500
0.500 0.500 0.000
```

Entry 5:
The following is a DFT calculation (GGA-PBE) of an optimized crystal structure of La3SbF.

Space group: No. 221
Uncorrected formation energy: -1.387 eV per atom
Raw total energy: -5.54 eV/atom
Offset from the most stable computed form: 0.00 eV per formula unit

Structure (POSCAR):
```
La3SbF
1.0
5.095 0.000 0.000
0.000 5.095 0.000
0.000 0.000 5.095
La Sb F
3 1 1
Direct
0.000 0.000 0.500
0.000 0.500 0.000
0.500 0.000 0.000
0.500 0.500 0.500
0.000 0.000 0.000
```

Entry 6:
The following is a DFT calculation (GGA-PBE) of an optimized crystal structure of TlPt5.

Space group: No. 65
Formation energy from the elements: -7 meV per atom
Raw total energy: -5.44 eV/atom

Structure (POSCAR):
```
TlPt5
1.0
2.067 -6.091 0.000
2.067 6.091 0.000
0.000 0.000 3.974
Tl Pt
1 5
Direct
0.000 0.000 0.000
0.172 0.828 0.500
0.333 0.667 0.000
0.500 0.500 0.500
0.667 0.333 0.000
0.828 0.172 0.500
```

Asked for density across the records above, the calculation gives 5.2, 7.7, 7.7, 6.9, 7.0, 19.6 Mg/m³ in order.